Material: FeBF2
Method: DFT, PBE with a Hubbard U
State: relaxed

The structure in POSCAR format:
```
FeBF2
1.0
0.000 2.770 2.770
2.770 0.000 2.770
2.770 2.770 0.000
Fe B F
1 1 2
Cartesian
0.000 0.000 0.000
2.770 2.770 2.770
1.385 1.385 1.385
4.154 4.154 4.154
```

Properties
Fermi-level density of states: 0.07 states/eV/cell
space-group type: Fm-3m (225)
E_tot: -4.142 eV per atom
energy above the most stable polymorph in this dataset: 21.3 kJ/mol of atoms
ρ: 4.09 Mg/m³